# HoErScOs | Alexandria | GGA-PBE | relaxed
# Energy of formation from the pure elements in eV per atom: -0.0235
data_HoErScOs
_chemical_formula_sum 'Ho4 Er4 Sc4 Os4'
_cell_length_a 7.064
_cell_length_b 7.064
_cell_length_c 7.064
_cell_angle_alpha 90.00
_cell_angle_beta 90.00
_cell_angle_gamma 90.00
_symmetry_space_group_name_H-M 'F -4 3 m'
_symmetry_Int_Tables_number 216
_symmetry_space_group_name_Hall 'F -4 2 3'
loop_
_atom_site_label
_atom_site_type_symbol
_atom_site_fract_x
_atom_site_fract_y
_atom_site_fract_z
Ho1 Ho 0.000 0.000 0.000
Er1 Er 0.000 0.000 0.500
Sc1 Sc 0.250 0.250 0.250
Os1 Os 0.250 0.250 0.750

# HoErTlOs | Alexandria | GGA-PBE | relaxed
# Energy of formation from the pure elements in eV per atom: -0.1686
data_HoErTlOs
_chemical_formula_sum 'Ho4 Er4 Tl4 Os4'
_cell_length_a 7.117
_cell_length_b 7.117
_cell_length_c 7.117
_cell_angle_alpha 90.00
_cell_angle_beta 90.00
_cell_angle_gamma 90.00
_symmetry_space_group_name_H-M 'F -4 3 m'
_symmetry_Int_Tables_number 216
_symmetry_space_group_name_Hall 'F -4 2 3'
loop_
_atom_site_label
_atom_site_type_symbol
_atom_site_fract_x
_atom_site_fract_y
_atom_site_fract_z
Ho1 Ho 0.000 0.000 0.000
Er1 Er 0.000 0.000 0.500
Tl1 Tl 0.250 0.250 0.750
Os1 Os 0.250 0.250 0.250

# HoEr3P4 | Alexandria | GGA-PBE | relaxed
# Energy of formation from the pure elements in eV per atom: -1.6136
data_HoEr3P4
_chemical_formula_sum 'Ho2 Er6 P8'
_cell_length_a 7.945
_cell_length_b 11.235
_cell_length_c 3.974
_cell_angle_alpha 90.00
_cell_angle_beta 90.00
_cell_angle_gamma 90.00
_symmetry_space_group_name_H-M 'C m m m'
_symmetry_Int_Tables_number 65
_symmetry_space_group_name_Hall '-C 2 2'
loop_
_atom_site_label
_atom_site_type_symbol
_atom_site_fract_x
_atom_site_fract_y
_atom_site_fract_z
Ho1 Ho 0.000 0.000 0.000
Er1 Er 0.000 0.500 0.000
Er2 Er 0.250 0.250 0.500
P1 P 0.000 0.250 0.000
P2 P 0.249 0.500 0.500

# Ho3ErP4 | Alexandria | GGA-PBE | relaxed
# Energy of formation from the pure elements in eV per atom: -1.6145
data_Ho3ErP4
_chemical_formula_sum 'Ho6 Er2 P8'
_cell_length_a 7.964
_cell_length_b 11.262
_cell_length_c 3.983
_cell_angle_alpha 90.00
_cell_angle_beta 90.00
_cell_angle_gamma 90.00
_symmetry_space_group_name_H-M 'C m m m'
_symmetry_Int_Tables_number 65
_symmetry_space_group_name_Hall '-C 2 2'
loop_
_atom_site_label
_atom_site_type_symbol
_atom_site_fract_x
_atom_site_fract_y
_atom_site_fract_z
Ho1 Ho 0.000 0.000 0.000
Ho2 Ho 0.250 0.250 0.500
Er1 Er 0.000 0.500 0.000
P1 P 0.000 0.250 0.000
P2 P 0.249 0.500 0.500

# HoEr5P6 | Alexandria | GGA-PBE | relaxed
# Energy of formation from the pure elements in eV per atom: -1.6139
data_HoEr5P6
_chemical_formula_sum 'Ho2 Er10 P12'
_cell_length_a 6.882
_cell_length_b 11.915
_cell_length_c 6.879
_cell_angle_alpha 90.00
_cell_angle_beta 109.48
_cell_angle_gamma 90.00
_symmetry_space_group_name_H-M 'C 1 2/m 1'
_symmetry_Int_Tables_number 12
loop_
_symmetry_equiv_pos_as_xyz
'x,y,z'
'-x,-y,-z'
'-x,y,-z'
'x,-y,z'
'x+1/2,y+1/2,z'
'-x+1/2,-y+1/2,-z'
'-x+1/2,y+1/2,-z'
'x+1/2,-y+1/2,z'
loop_
_atom_site_label
_atom_site_type_symbol
_atom_site_fract_x
_atom_site_fract_y
_atom_site_fract_z
Ho1 Ho 0.000 0.000 0.000
Er1 Er 0.000 0.167 0.500
Er2 Er 0.000 0.333 0.000
Er3 Er 0.000 0.500 0.500
P1 P 0.249 0.500 0.250
P2 P 0.250 0.167 0.250

# Ho5ErP6 | Alexandria | GGA-PBE | relaxed
# Energy of formation from the pure elements in eV per atom: -1.6151
data_Ho5ErP6
_chemical_formula_sum 'Ho10 Er2 P12'
_cell_length_a 6.904
_cell_length_b 11.951
_cell_length_c 6.902
_cell_angle_alpha 90.00
_cell_angle_beta 109.50
_cell_angle_gamma 90.00
_symmetry_space_group_name_H-M 'C 1 2/m 1'
_symmetry_Int_Tables_number 12
loop_
_symmetry_equiv_pos_as_xyz
'x,y,z'
'-x,-y,-z'
'-x,y,-z'
'x,-y,z'
'x+1/2,y+1/2,z'
'-x+1/2,-y+1/2,-z'
'-x+1/2,y+1/2,-z'
'x+1/2,-y+1/2,z'
loop_
_atom_site_label
_atom_site_type_symbol
_atom_site_fract_x
_atom_site_fract_y
_atom_site_fract_z
Ho1 Ho 0.000 0.000 0.000
Ho2 Ho 0.000 0.167 0.500
Ho3 Ho 0.000 0.333 0.000
Er1 Er 0.000 0.500 0.500
P1 P 0.249 0.500 0.250
P2 P 0.250 0.166 0.250

# Ho5Er3P8 | Alexandria | GGA-PBE | relaxed
# Energy of formation from the pure elements in eV per atom: -1.6138
data_Ho5Er3P8
_chemical_formula_sum 'Ho15 Er9 P24'
_cell_length_a 7.9586
_cell_length_b 7.9586
_cell_length_c 19.4950
_cell_angle_alpha 90.00
_cell_angle_beta 90.00
_cell_angle_gamma 120.00
_symmetry_space_group_name_H-M 'R -3 m'
_symmetry_Int_Tables_number 166
_symmetry_space_group_name_Hall '-R 3 2"'
loop_
_atom_site_label
_atom_site_type_symbol
_atom_site_fract_x
_atom_site_fract_y
_atom_site_fract_z
Ho1 Ho 0.0000 0.0000 0.0000
Ho2 Ho 0.0000 0.0000 0.5000
Ho3 Ho 0.0000 0.5000 0.0000
Er1 Er 0.0000 0.5000 0.5000
P1 P 0.0000 0.0000 0.2496
P2 P 0.0006 0.5003 0.7503

# HoEr2P | Alexandria | GGA-PBE | relaxed
# Energy of formation from the pure elements in eV per atom: -0.4849
data_HoEr2P
_chemical_formula_sum 'Ho3 Er6 P3'
_cell_length_a 3.6923
_cell_length_b 3.6923
_cell_length_c 30.1813
_cell_angle_alpha 90.00
_cell_angle_beta 90.00
_cell_angle_gamma 120.00
_symmetry_space_group_name_H-M 'R -3 m'
_symmetry_Int_Tables_number 166
_symmetry_space_group_name_Hall '-R 3 2"'
loop_
_atom_site_label
_atom_site_type_symbol
_atom_site_fract_x
_atom_site_fract_y
_atom_site_fract_z
Ho1 Ho 0.0000 0.0000 0.0000
Er1 Er 0.0000 0.0000 0.1130
P1 P 0.0000 0.0000 0.5000

# Ho2ErP | Alexandria | GGA-PBE | relaxed
# Energy of formation from the pure elements in eV per atom: -0.4825
data_Ho2ErP
_chemical_formula_sum 'Ho6 Er3 P3'
_cell_length_a 3.7060
_cell_length_b 3.7060
_cell_length_c 30.1760
_cell_angle_alpha 90.00
_cell_angle_beta 90.00
_cell_angle_gamma 120.00
_symmetry_space_group_name_H-M 'R -3 m'
_symmetry_Int_Tables_number 166
_symmetry_space_group_name_Hall '-R 3 2"'
loop_
_atom_site_label
_atom_site_type_symbol
_atom_site_fract_x
_atom_site_fract_y
_atom_site_fract_z
Ho1 Ho 0.0000 0.0000 0.1128
Er1 Er 0.0000 0.0000 0.0000
P1 P 0.0000 0.0000 0.5000

# Ho3Er5P8 | Alexandria | GGA-PBE | relaxed
# Energy of formation from the pure elements in eV per atom: -1.6133
data_Ho3Er5P8
_chemical_formula_sum 'Ho9 Er15 P24'
_cell_length_a 7.9492
_cell_length_b 7.9492
_cell_length_c 19.4716
_cell_angle_alpha 90.00
_cell_angle_beta 90.00
_cell_angle_gamma 120.00
_symmetry_space_group_name_H-M 'R -3 m'
_symmetry_Int_Tables_number 166
_symmetry_space_group_name_Hall '-R 3 2"'
loop_
_atom_site_label
_atom_site_type_symbol
_atom_site_fract_x
_atom_site_fract_y
_atom_site_fract_z
Ho1 Ho 0.0000 0.5000 0.0000
Er1 Er 0.0000 0.0000 0.0000
Er2 Er 0.0000 0.0000 0.5000
Er3 Er 0.0000 0.5000 0.5000
P1 P 0.0000 0.0000 0.2496
P2 P 0.0005 0.5003 0.7503

# Ho4ErP5 | Alexandria | GGA-PBE | relaxed
# Energy of formation from the pure elements in eV per atom: -1.6155
data_Ho4ErP5
_chemical_formula_sum 'Ho8 Er2 P10'
_cell_length_a 8.908
_cell_length_b 8.908
_cell_length_c 5.634
_cell_angle_alpha 90.00
_cell_angle_beta 90.00
_cell_angle_gamma 90.00
_symmetry_space_group_name_H-M 'I 4/m'
_symmetry_Int_Tables_number 87
_symmetry_space_group_name_Hall '-I 4'
loop_
_atom_site_label
_atom_site_type_symbol
_atom_site_fract_x
_atom_site_fract_y
_atom_site_fract_z
Ho1 Ho 0.100 0.300 0.000
Er1 Er 0.000 0.000 0.500
P1 P 0.000 0.000 0.000
P2 P 0.100 0.299 0.500

# HoErPa2P4 | Alexandria | GGA-PBE | relaxed
# Energy of formation from the pure elements in eV per atom: -1.4529
data_HoErPa2P4
_chemical_formula_sum 'Ho1 Er1 Pa2 P4'
_cell_length_a 6.861
_cell_length_b 3.969
_cell_length_c 6.873
_cell_angle_alpha 90.00
_cell_angle_beta 109.52
_cell_angle_gamma 90.00
_symmetry_space_group_name_H-M 'P 1 2/m 1'
_symmetry_Int_Tables_number 10
loop_
_symmetry_equiv_pos_as_xyz
'x,y,z'
'-x,-y,-z'
'-x,y,-z'
'x,-y,z'
loop_
_atom_site_label
_atom_site_type_symbol
_atom_site_fract_x
_atom_site_fract_y
_atom_site_fract_z
Ho1 Ho 0.000 0.000 0.000
Er1 Er 0.000 0.500 0.500
Pa1 Pa 0.500 0.000 0.500
Pa2 Pa 0.500 0.500 0.000
P1 P 0.251 0.000 0.750
P2 P 0.252 0.500 0.251

# PmHoEr2P4 | Alexandria | GGA-PBE | relaxed
# Energy of formation from the pure elements in eV per atom: -1.5930
data_PmHoEr2P4
_chemical_formula_sum 'Pm1 Ho1 Er2 P4'
_cell_length_a 6.952
_cell_length_b 4.017
_cell_length_c 6.953
_cell_angle_alpha 90.00
_cell_angle_beta 109.47
_cell_angle_gamma 90.00
_symmetry_space_group_name_H-M 'P 1 2/m 1'
_symmetry_Int_Tables_number 10
loop_
_symmetry_equiv_pos_as_xyz
'x,y,z'
'-x,-y,-z'
'-x,y,-z'
'x,-y,z'
loop_
_atom_site_label
_atom_site_type_symbol
_atom_site_fract_x
_atom_site_fract_y
_atom_site_fract_z
Pm1 Pm 0.000 0.000 0.000
Ho1 Ho 0.000 0.500 0.500
Er1 Er 0.500 0.000 0.500
Er2 Er 0.500 0.500 0.000
P1 P 0.254 0.000 0.747
P2 P 0.257 0.500 0.256

# Pm2HoErP4 | Alexandria | GGA-PBE | relaxed
# Energy of formation from the pure elements in eV per atom: -1.5821
data_Pm2HoErP4
_chemical_formula_sum 'Pm2 Ho1 Er1 P4'
_cell_length_a 7.019
_cell_length_b 4.058
_cell_length_c 7.025
_cell_angle_alpha 90.00
_cell_angle_beta 109.48
_cell_angle_gamma 90.00
_symmetry_space_group_name_H-M 'P 1 2/m 1'
_symmetry_Int_Tables_number 10
loop_
_symmetry_equiv_pos_as_xyz
'x,y,z'
'-x,-y,-z'
'-x,y,-z'
'x,-y,z'
loop_
_atom_site_label
_atom_site_type_symbol
_atom_site_fract_x
_atom_site_fract_y
_atom_site_fract_z
Pm1 Pm 0.000 0.000 0.000
Pm2 Pm 0.000 0.500 0.500
Ho1 Ho 0.500 0.000 0.500
Er1 Er 0.500 0.500 0.000
P1 P 0.259 0.500 0.253
P2 P 0.260 0.000 0.754

# PmHo2ErP4 | Alexandria | GGA-PBE | relaxed
# Energy of formation from the pure elements in eV per atom: -1.5931
data_PmHo2ErP4
_chemical_formula_sum 'Pm1 Ho2 Er1 P4'
_cell_length_a 6.961
_cell_length_b 4.022
_cell_length_c 6.961
_cell_angle_alpha 90.00
_cell_angle_beta 109.47
_cell_angle_gamma 90.00
_symmetry_space_group_name_H-M 'P 1 2/m 1'
_symmetry_Int_Tables_number 10
loop_
_symmetry_equiv_pos_as_xyz
'x,y,z'
'-x,-y,-z'
'-x,y,-z'
'x,-y,z'
loop_
_atom_site_label
_atom_site_type_symbol
_atom_site_fract_x
_atom_site_fract_y
_atom_site_fract_z
Pm1 Pm 0.000 0.000 0.000
Ho1 Ho 0.000 0.500 0.500
Ho2 Ho 0.500 0.000 0.500
Er1 Er 0.500 0.500 0.000
P1 P 0.254 0.000 0.748
P2 P 0.256 0.500 0.256

# PrHoEr2P4 | Alexandria | GGA-PBE | relaxed
# Energy of formation from the pure elements in eV per atom: -1.5720
data_PrHoEr2P4
_chemical_formula_sum 'Pr1 Ho1 Er2 P4'
_cell_length_a 6.985
_cell_length_b 4.037
_cell_length_c 6.986
_cell_angle_alpha 90.00
_cell_angle_beta 109.47
_cell_angle_gamma 90.00
_symmetry_space_group_name_H-M 'P 1 2/m 1'
_symmetry_Int_Tables_number 10
loop_
_symmetry_equiv_pos_as_xyz
'x,y,z'
'-x,-y,-z'
'-x,y,-z'
'x,-y,z'
loop_
_atom_site_label
_atom_site_type_symbol
_atom_site_fract_x
_atom_site_fract_y
_atom_site_fract_z
Pr1 Pr 0.000 0.000 0.000
Ho1 Ho 0.000 0.500 0.500
Er1 Er 0.500 0.000 0.500
Er2 Er 0.500 0.500 0.000
P1 P 0.255 0.000 0.746
P2 P 0.260 0.500 0.259

# HoEr2PuP4 | Alexandria | GGA-PBE | relaxed
# Energy of formation from the pure elements in eV per atom: -1.4881
data_HoEr2PuP4
_chemical_formula_sum 'Ho1 Er2 Pu1 P4'
_cell_length_a 6.877
_cell_length_b 3.985
_cell_length_c 6.879
_cell_angle_alpha 90.00
_cell_angle_beta 109.51
_cell_angle_gamma 90.00
_symmetry_space_group_name_H-M 'P 1 2/m 1'
_symmetry_Int_Tables_number 10
loop_
_symmetry_equiv_pos_as_xyz
'x,y,z'
'-x,-y,-z'
'-x,y,-z'
'x,-y,z'
loop_
_atom_site_label
_atom_site_type_symbol
_atom_site_fract_x
_atom_site_fract_y
_atom_site_fract_z
Ho1 Ho 0.000 0.000 0.000
Er1 Er 0.500 0.000 0.500
Er2 Er 0.500 0.500 0.000
Pu1 Pu 0.000 0.500 0.500
P1 P 0.249 0.000 0.748
P2 P 0.250 0.500 0.252

# HoErPu2P4 | Alexandria | GGA-PBE | relaxed
# Energy of formation from the pure elements in eV per atom: -1.3837
data_HoErPu2P4
_chemical_formula_sum 'Ho1 Er1 Pu2 P4'
_cell_length_a 6.855
_cell_length_b 3.997
_cell_length_c 6.921
_cell_angle_alpha 90.00
_cell_angle_beta 109.67
_cell_angle_gamma 90.00
_symmetry_space_group_name_H-M 'P 1 2/m 1'
_symmetry_Int_Tables_number 10
loop_
_symmetry_equiv_pos_as_xyz
'x,y,z'
'-x,-y,-z'
'-x,y,-z'
'x,-y,z'
loop_
_atom_site_label
_atom_site_type_symbol
_atom_site_fract_x
_atom_site_fract_y
_atom_site_fract_z
Ho1 Ho 0.000 0.000 0.000
Er1 Er 0.000 0.500 0.500
Pu1 Pu 0.500 0.000 0.500
Pu2 Pu 0.500 0.500 0.000
P1 P 0.253 0.000 0.751
P2 P 0.254 0.500 0.252

# Ho2ErP3Rh12 | Alexandria | GGA-PBE | relaxed
# Energy of formation from the pure elements in eV per atom: -0.4274
data_Ho2ErP3Rh12
_chemical_formula_sum 'Ho6 Er3 P9 Rh36'
_cell_length_a 8.9258
_cell_length_b 8.9258
_cell_length_c 12.8092
_cell_angle_alpha 90.00
_cell_angle_beta 90.00
_cell_angle_gamma 120.00
_symmetry_space_group_name_H-M 'R -3 m'
_symmetry_Int_Tables_number 166
_symmetry_space_group_name_Hall '-R 3 2"'
loop_
_atom_site_label
_atom_site_type_symbol
_atom_site_fract_x
_atom_site_fract_y
_atom_site_fract_z
Ho1 Ho 0.0000 0.0000 0.1276
Er1 Er 0.0000 0.0000 0.5000
P1 P 0.0000 0.5000 0.0000
Rh1 Rh 0.0111 0.5055 0.8261
Rh2 Rh 0.0247 0.5123 0.3823

# HoErPS | Alexandria | GGA-PBE | relaxed
# Formation energy from raw total energies in meV per atom: -1858
data_HoErPS
_chemical_formula_sum 'Ho3 Er3 P3 S3'
_cell_length_a 3.9282
_cell_length_b 3.9282
_cell_length_c 19.3124
_cell_angle_alpha 90.00
_cell_angle_beta 90.00
_cell_angle_gamma 120.00
_symmetry_space_group_name_H-M 'R 3 m'
_symmetry_Int_Tables_number 160
_symmetry_space_group_name_Hall 'R 3 -2"'
loop_
_atom_site_label
_atom_site_type_symbol
_atom_site_fract_x
_atom_site_fract_y
_atom_site_fract_z
Ho1 Ho 0.0000 0.0000 0.0000
Er1 Er 0.0000 0.0000 0.5062
P1 P 0.0000 0.0000 0.2526
S1 S 0.0000 0.0000 0.7536

The records above give, respectively, raw total energy values of -107.18 -93.64 -105.63 -105.70 -158.44 -158.58 -317.03 -63.16 -63.17 -316.92 -132.16 -61.39 -52.84 -52.94 -52.85 -52.70 -61.58 -70.51 -377.58 -78.34 eV for the cell shown.